1.
A plane-wave DFT calculation with PBE was carried out for a relaxed structure of Tb5CeY2Tm.

Results
Space-group type: Cmc2_1
DOS(E_F), states/eV/cell: 35.666
Energy relative to the elements, eV/atom: 0.1704
V, Å³/cell: 586

abc: 5.606 10.477 10.352
angles: 90.00 90.00 105.52
Last column: magnetic moment on the atom in μB.
Element x y z (fractional)
Tb1 0.723 0.447 0.812  0.06
Tb2 0.702 0.404 0.203  0.04
Tb3 0.609 0.217 0.527  0.01
Tb4 0.479 0.958 0.742  -0.02
Tb5 0.391 0.783 0.027  0.01
Tb6 0.983 0.967 0.521  0.00
Tb7 0.521 0.042 0.242  -0.02
Tb8 0.298 0.596 0.703  0.04
Tb9 0.017 0.033 0.021  0.00
Tb10 0.277 0.553 0.312  0.06
Y1 0.114 0.227 0.733  0.02
Y2 0.886 0.772 0.818  0.01
Y3 0.114 0.228 0.318  0.01
Y4 0.886 0.773 0.233  0.02
Tm1 0.592 0.183 0.954  0.00
Tm2 0.408 0.817 0.454  0.00
Ce1 0.201 0.402 0.014  0.62
Ce2 0.799 0.598 0.514  0.62

2.
A plane-wave DFT calculation with PBE was carried out for a relaxed structure of BeRu.

Results
Space-group type: Cmcm
DOS(E_F), states/eV/cell: 2.386
Energy relative to the elements, eV/atom: -0.2553
V, Å³/cell: 43

abc: 3.670 2.804 4.413
angles: 71.42 90.00 90.00
Element x y z (fractional)
Be1 0.000 0.799 0.025
Be2 0.500 0.951 0.725
Ru1 0.000 0.524 0.578
Ru2 0.500 0.226 0.172

3.
A plane-wave DFT calculation with PBE was carried out for a relaxed structure of AlTl2Os.

Results
Space-group type: Cmm2
Energy relative to the lowest polymorph listed for this composition, eV per atom: 0.225
DOS(E_F), states/eV/cell: 2.182
Energy relative to the elements, eV/atom: 0.4643
V, Å³/cell: 89

abc: 3.025 3.025 10.416
angles: 90.00 90.00 111.00
Element x y z (fractional)
Tl1 0.000 0.000 0.949
Tl2 0.500 0.500 0.286
Al1 0.000 0.000 0.549
Os1 0.500 0.500 0.716

4.
A plane-wave DFT calculation with PBE was carried out for a relaxed structure of Pr2SiO5.

Results
Space-group type: I4mm
Energy relative to the lowest polymorph listed for this composition, eV per atom: 0.305
DOS(E_F), states/eV/cell: 0.000
V, Å³/cell: 113
Energy relative to the elements, uncorrected, eV/atom: -2.943

abc: 5.546 5.546 5.372
angles: 121.08 121.08 90.00
Element x y z (fractional)
O1 0.752 0.752 0.504
O2 0.812 0.812 0.060
O3 0.248 0.248 0.060
O4 0.248 0.812 0.060
O5 0.812 0.248 0.060
Pr1 0.216 0.716 0.431
Pr2 0.716 0.216 0.431
Si1 0.974 0.974 0.947